## Pr8Sm2Y3 (PBE)

Data for crystalline Pr8Sm2Y3 at its relaxed geometry.

a b c (Å): 13.244 8.330 23.200
angles (deg): 89.95 90.06 159.07
Fractional positions:
Sm: 0.442 0.964 0.071
Sm: 0.558 0.036 0.929
Sm: 0.942 0.964 0.429
Sm: 0.058 0.036 0.571
Y: 0.000 0.000 0.000
Y: 0.907 0.134 0.707
Y: 0.407 0.134 0.793
Y: 0.593 0.866 0.207
Y: 0.093 0.866 0.293
Y: 0.500 0.000 0.500
Pr: 0.111 0.063 0.858
Pr: 0.388 0.937 0.358
Pr: 0.612 0.063 0.642
Pr: 0.143 0.913 0.123
Pr: 0.857 0.087 0.877
Pr: 0.889 0.937 0.142
Pr: 0.849 0.909 0.286
Pr: 0.785 0.027 0.541
Pr: 0.358 0.088 0.623
Pr: 0.285 0.026 0.959
Pr: 0.651 0.091 0.786
Pr: 0.349 0.909 0.214
Pr: 0.642 0.912 0.377
Pr: 0.715 0.974 0.041
Pr: 0.151 0.091 0.714
Pr: 0.215 0.973 0.459

Values from the calculation:
- Fermi-level density of states: 31.7 states/eV/cell
- Offset from the most stable computed form: 0.000 eV/atom
- Energy of formation: 1.5 kcal/mol of atoms
- Magnetization: 0.0 μB/f.u.